--- i ---
## AlTlIr2 (GGA-PBE)

Data for a geometry-optimized AlTlIr2 structure.

Properties
total moment	0.00	μB/f.u.

The structure in POSCAR format:
```
AlTlIr2
1.0
-1.023 -4.644 1.861
4.128 -2.860 0.924
-1.433 4.757 1.181
Ir Tl Al
2 1 1
Direct
0.250 0.750 0.500
0.000 0.000 0.000
0.500 0.500 0.000
0.750 0.250 0.500
```

=====

--- ii ---
## AlTlIr2 (GGA-PBE)

Data for a geometry-optimized AlTlIr2 structure.

Properties
total moment	0.00	μB/f.u.

The structure in POSCAR format:
```
AlTlIr2
1.0
3.028 0.000 0.000
0.000 3.018 0.035
0.000 2.751 7.109
Ir Tl Al
2 1 1
Direct
0.000 0.058 0.960
0.000 0.442 0.540
0.500 0.250 0.250
0.500 0.750 0.750
```

=====

--- iii ---
## AlTlIr2 (GGA-PBE)

Data for a geometry-optimized AlTlIr2 structure.

Properties
total moment	0.00	μB/f.u.

The structure in POSCAR format:
```
AlTlIr2
1.0
4.656 0.000 0.000
0.724 4.599 0.000
-2.690 -2.300 3.026
Ir Al Tl
2 1 1
Direct
0.000 0.000 0.000
0.500 0.500 0.000
0.750 0.250 0.500
0.250 0.750 0.500
```

=====

--- iv ---
## AlTlIr2 (GGA-PBE)

Data for a geometry-optimized AlTlIr2 structure.

Properties
total moment	0.00	μB/f.u.

The structure in POSCAR format:
```
AlTlIr2
1.0
0.000 3.190 3.190
3.190 0.000 3.190
3.190 3.190 0.000
Ir Al Tl
2 1 1
Direct
0.750 0.750 0.750
0.250 0.250 0.250
0.000 0.000 0.000
0.500 0.500 0.500
```

=====

Most stable to least stable, the ends of the list are ii and i.

=====

--- i ---
## AlTlIr2 (GGA-PBE)

Data for a geometry-optimized AlTlIr2 structure.

Properties
total moment	0.00	μB/f.u.

The structure in POSCAR format:
```
AlTlIr2
1.0
-0.027 0.206 2.901
-2.925 -2.598 0.157
3.990 -4.472 0.353
Ir Al Tl
2 1 1
Direct
0.500 0.500 0.242
0.000 0.000 0.955
0.500 0.500 0.827
0.000 0.000 0.477
```

=====

--- ii ---
## AlTlIr2 (GGA-PBE)

Data for a geometry-optimized AlTlIr2 structure.

Properties
total moment	0.00	μB/f.u.

The structure in POSCAR format:
```
AlTlIr2
1.0
5.142 -0.078 -0.223
-2.488 4.705 0.060
0.165 0.978 2.808
Ir Tl Al
2 1 1
Direct
0.000 0.000 0.000
0.500 0.000 0.500
0.000 0.500 0.500
0.500 0.500 0.000
```

=====

Most stable to least stable, the ends of the list are i and ii.

=====

--- i ---
## AlTlIr2 (GGA-PBE)

Data for a geometry-optimized AlTlIr2 structure.

Properties
total moment	0.00	μB/f.u.

The structure in POSCAR format:
```
AlTlIr2
1.0
4.238 0.000 0.000
0.000 4.238 0.000
2.119 2.119 8.653
Al Ir Tl
2 4 2
Direct
0.250 0.750 0.500
0.500 0.500 0.000
0.375 0.449 0.750
0.875 0.801 0.750
0.199 0.625 0.250
0.551 0.125 0.250
0.750 0.250 0.500
0.000 0.000 0.000
```

=====

--- ii ---
## AlTlIr2 (GGA-PBE)

Data for a geometry-optimized AlTlIr2 structure.

Properties
total moment	0.00	μB/f.u.

The structure in POSCAR format:
```
AlTlIr2
1.0
5.213 0.019 0.047
4.332 2.901 0.047
1.417 0.434 4.416
Ir Al Tl
2 1 1
Direct
0.000 0.000 0.076
0.743 0.743 0.678
0.265 0.265 0.173
0.492 0.492 0.572
```

=====

Most stable to least stable, the ends of the list are ii and i.

=====

--- i ---
## AlTlIr (GGA-PBE)

Data for a geometry-optimized AlTlIr structure.

Properties
total moment	0.00	μB/f.u.

The structure in POSCAR format:
```
AlTlIr
1.0
-2.171 -2.247 2.812
-0.217 -0.970 -4.085
3.023 -2.407 0.411
Tl Ir Al
1 1 1
Direct
0.333 0.667 0.667
0.667 0.333 0.166
0.000 0.000 0.167
```

=====

--- ii ---
## AlTlIr (GGA-PBE)

Data for a geometry-optimized AlTlIr structure.

Properties
total moment	0.00	μB/f.u.

The structure in POSCAR format:
```
AlTlIr
1.0
-3.183 -4.524 -3.304
-3.161 -5.601 -0.389
-2.986 0.801 0.318
Tl Ir Al
1 1 1
Direct
0.323 0.323 0.677
0.637 0.637 0.363
0.040 0.040 0.960
```

=====

Most stable to least stable, the ends of the list are ii and i.